! Zn2Cu4Pt (PBE, relaxed); values from VASP
&SYSTEM
  ibrav = 0, nat = 28, ntyp = 3
/
ATOMIC_SPECIES
Zn 65.41 Zn.upf
Pt 195.08 Pt.upf
Cu 63.55 Cu.upf
ATOMIC_POSITIONS angstrom
Zn -0.621 -0.633 3.823
Pt -0.781 1.547 1.373
Cu -5.160 -6.921 7.217
Cu -5.206 -5.357 5.356
Cu -6.303 -4.176 3.475
Pt 0.776 -2.895 3.702
Zn -7.774 -5.485 5.409
Cu -6.538 -3.149 5.744
Zn -1.686 1.975 3.839
Pt -4.198 -3.059 4.616
Cu -7.008 -2.881 1.542
Cu -3.189 -0.761 3.876
Zn -5.139 -1.198 2.081
Cu -3.235 0.804 2.015
Zn -3.256 -4.919 7.151
Cu -7.681 -0.404 2.002
Cu -0.714 -5.713 7.230
Cu -2.092 -1.941 5.757
Zn -4.322 -2.312 7.167
Zn -6.709 -8.093 5.393
Cu -0.792 -4.086 5.425
Cu -1.857 -2.968 3.488
Zn -4.073 -3.806 2.065
Cu -7.603 -2.032 3.807
Pt -4.192 -1.710 -0.459
Cu -5.800 -4.508 7.621
Cu -1.387 -3.237 7.690
Cu -2.595 -1.610 1.611
CELL_PARAMETERS angstrom
-1.563 3.093 2.746
-8.383 -3.421 -0.918
1.551 -5.790 7.404
! Distance to the lowest polymorph of the same formula ... 0 meV/atom
! Calculated volume ... 13.69 Å³ per atom
! Formation energy from the elements ... -72 meV/atom